# Mn5Co4

Mn5Co4 after structural relaxation (PBE, Alexandria).

Properties
E_form   0.356 eV/f.u.
Size of the total moment   8.18 Bohr magnetons per cell
E above lowest polymorph   0.000 eV per atom
Total DFT energy (no corrections)   -73.915 eV per formula unit
Symmetry   I4/mmm

Cell lengths 5.5944, 5.5944, 5.5944 Å; angles 95.88, 95.88, 142.65 degrees
Fractional coordinates of all 9 atoms:
Mn 0.0000 0.0000 0.0000
Mn 0.0000 0.3222 0.3222
Mn 0.0000 0.6778 0.6778
Mn 0.3222 0.0000 0.3222
Mn 0.6778 0.0000 0.6778
Co 0.3347 0.3347 0.6694
Co 0.3347 0.6653 0.0000
Co 0.6653 0.3347 0.0000
Co 0.6653 0.6653 0.3306

# Mn3Co

Mn3Co after structural relaxation (PBE, Alexandria).

Properties
E_form   0.082 eV/f.u.
Size of the total moment   0.00 Bohr magnetons per cell
Total DFT energy (no corrections)   -34.533 eV per formula unit
Symmetry   Pmm2

Cell lengths 2.4719, 3.9680, 4.3091 Å; angles 90.00, 90.00, 90.00 degrees
Fractional coordinates of all 4 atoms:
Mn 0.0000 0.0000 0.0000
Mn 0.0000 0.5000 0.3307
Mn 0.5000 0.5000 0.8296
Co 0.5000 0.0000 0.4937

# MnCo2

MnCo2 after structural relaxation (PBE, Alexandria).

Properties
E_form   0.345 eV/f.u.
Size of the total moment   1.00 Bohr magnetons per cell
Total DFT energy (no corrections)   -23.036 eV per formula unit
Symmetry   P-62m

Cell lengths 6.7268, 6.7268, 2.4505 Å; angles 90.00, 90.00, 120.00 degrees
Fractional coordinates of all 9 atoms:
Mn 0.0000 0.0000 0.0000
Mn 0.3333 0.6667 0.5000
Mn 0.6667 0.3333 0.5000
Co 0.0000 0.3033 0.5000
Co 0.0000 0.6446 0.0000
Co 0.3033 0.0000 0.5000
Co 0.3554 0.3554 0.0000
Co 0.6446 0.0000 0.0000
Co 0.6967 0.6967 0.5000

# Mn5Co4

Mn5Co4 after structural relaxation (PBE, Alexandria).

Properties
E_form   0.689 eV/f.u.
Size of the total moment   2.98 Bohr magnetons per cell
E above lowest polymorph   0.037 eV per atom
Total DFT energy (no corrections)   -73.582 eV per formula unit
Symmetry   I4/mmm

Cell lengths 5.5183, 5.5183, 5.5183 Å; angles 95.71, 95.71, 143.23 degrees
Fractional coordinates of all 9 atoms:
Mn 0.0000 0.0000 0.0000
Mn 0.3343 0.3343 0.6685
Mn 0.3343 0.6657 0.0000
Mn 0.6657 0.3343 0.0000
Mn 0.6657 0.6657 0.3315
Co 0.0000 0.3315 0.3315
Co 0.0000 0.6685 0.6685
Co 0.3315 0.0000 0.3315
Co 0.6685 0.0000 0.6685

# Mn3Co

Mn3Co after structural relaxation (PBE, Alexandria).

Properties
E_form   0.559 eV/f.u.
Size of the total moment   3.17 Bohr magnetons per cell
Total DFT energy (no corrections)   -34.055 eV per formula unit
Symmetry   P2/m

Cell lengths 2.4767, 4.0097, 4.6478 Å; angles 90.00, 97.30, 90.00 degrees
Fractional coordinates of all 4 atoms:
Mn 0.0000 0.0000 0.0000
Mn 0.2477 0.5000 0.7457
Mn 0.7523 0.5000 0.2543
Co 0.5000 0.0000 0.5000

# Mn3Co

Mn3Co after structural relaxation (PBE, Alexandria).

Properties
E_form   0.334 eV/f.u.
Size of the total moment   0.10 Bohr magnetons per cell
Total DFT energy (no corrections)   -34.281 eV per formula unit
Symmetry   R-3m

Cell lengths 2.4673, 2.4673, 24.1807 Å; angles 90.00, 90.00, 120.00 degrees
Fractional coordinates of all 12 atoms:
Mn 0.0000 0.0000 0.0000
Mn 0.0000 0.0000 0.2500
Mn 0.0000 0.0000 0.7500
Mn 0.3333 0.6667 0.4166
Mn 0.3333 0.6667 0.6667
Mn 0.3333 0.6667 0.9167
Mn 0.6667 0.3333 0.0833
Mn 0.6667 0.3333 0.3333
Mn 0.6667 0.3333 0.5834
Co 0.0000 0.0000 0.5000
Co 0.3333 0.6667 0.1667
Co 0.6667 0.3333 0.8333

# Mn6Co5

Mn6Co5 after structural relaxation (PBE, Alexandria).

Properties
E_form   1.798 eV/f.u.
Size of the total moment   22.19 Bohr magnetons per cell
Total DFT energy (no corrections)   -88.748 eV per formula unit
Symmetry   Immm

Cell lengths 6.9044, 6.9044, 6.9044 Å; angles 146.25, 131.93, 60.02 degrees
Fractional coordinates of all 11 atoms:
Mn 0.0803 0.3395 0.7408
Mn 0.2361 0.0000 0.2361
Mn 0.4013 0.6605 0.7408
Mn 0.5987 0.3395 0.2592
Mn 0.7639 0.0000 0.7639
Mn 0.9197 0.6605 0.2592
Co 0.1736 0.1736 0.0000
Co 0.3350 0.8350 0.5000
Co 0.5000 0.5000 0.0000
Co 0.6650 0.1650 0.5000
Co 0.8264 0.8264 0.0000

# Mn3Co

Mn3Co after structural relaxation (PBE, Alexandria).

Properties
E_form   0.112 eV/f.u.
Size of the total moment   5.91 Bohr magnetons per cell
Total DFT energy (no corrections)   -34.503 eV per formula unit
Symmetry   P4/mmm

Cell lengths 2.8499, 2.8499, 5.7692 Å; angles 90.00, 90.00, 90.00 degrees
Fractional coordinates of all 4 atoms:
Mn 0.0000 0.0000 0.0000
Mn 0.5000 0.5000 0.2519
Mn 0.5000 0.5000 0.7481
Co 0.0000 0.0000 0.5000

# Mn3Co4

Mn3Co4 after structural relaxation (PBE, Alexandria).

Properties
E_form   0.669 eV/f.u.
Size of the total moment   27.16 Bohr magnetons per cell
E above lowest polymorph   0.000 eV per atom
Total DFT energy (no corrections)   -55.263 eV per formula unit
Symmetry   I4/mmm

Cell lengths 2.8098, 2.8098, 20.3594 Å; angles 90.00, 90.00, 90.00 degrees
Fractional coordinates of all 14 atoms:
Mn 0.0000 0.0000 0.0000
Mn 0.0000 0.0000 0.2848
Mn 0.0000 0.0000 0.7152
Mn 0.5000 0.5000 0.2152
Mn 0.5000 0.5000 0.5000
Mn 0.5000 0.5000 0.7848
Co 0.0000 0.0000 0.1434
Co 0.0000 0.0000 0.4263
Co 0.0000 0.0000 0.5737
Co 0.0000 0.0000 0.8566
Co 0.5000 0.5000 0.0737
Co 0.5000 0.5000 0.3566
Co 0.5000 0.5000 0.6434
Co 0.5000 0.5000 0.9263

# Mn3Co

Mn3Co after structural relaxation (PBE, Alexandria).

Properties
E_form   0.226 eV/f.u.
Size of the total moment   0.81 Bohr magnetons per cell
Total DFT energy (no corrections)   -34.389 eV per formula unit
Symmetry   P4/mmm

Cell lengths 2.5005, 2.5005, 7.0381 Å; angles 90.00, 90.00, 90.00 degrees
Fractional coordinates of all 4 atoms:
Mn 0.0000 0.0000 0.0000
Mn 0.5000 0.5000 0.2531
Mn 0.5000 0.5000 0.7469
Co 0.0000 0.0000 0.5000

# MnCo2

MnCo2 after structural relaxation (PBE, Alexandria).

Properties
E_form   2.143 eV/f.u.
Size of the total moment   5.42 Bohr magnetons per cell
Total DFT energy (no corrections)   -21.238 eV per formula unit
Symmetry   P4/mmm

Cell lengths 3.9716, 3.9716, 2.5986 Å; angles 90.00, 90.00, 90.00 degrees
Fractional coordinates of all 3 atoms:
Mn 0.0000 0.0000 0.0000
Co 0.0000 0.5000 0.5000
Co 0.5000 0.0000 0.5000

# MnCo5

MnCo5 after structural relaxation (PBE, Alexandria).

Properties
E_form   0.389 eV/f.u.
Size of the total moment   9.46 Bohr magnetons per cell
Total DFT energy (no corrections)   -44.310 eV per formula unit
Symmetry   Cm

Cell lengths 9.0853, 2.5093, 5.8725 Å; angles 90.00, 104.36, 90.00 degrees
Fractional coordinates of all 12 atoms:
Mn 0.0000 0.0000 0.0000
Mn 0.5000 0.5000 0.0000
Co 0.1127 0.5000 0.7238
Co 0.1681 0.5000 0.3349
Co 0.2786 0.0000 0.0588
Co 0.3339 0.0000 0.6656
Co 0.4467 0.5000 0.3909
Co 0.6127 0.0000 0.7238
Co 0.6681 0.0000 0.3349
Co 0.7786 0.5000 0.0588
Co 0.8339 0.5000 0.6656
Co 0.9467 0.0000 0.3909